1.
Below is Sc3SiNi3 after structural relaxation, with properties calculated at the PBE level.

Cell lengths 9.614, 3.488, 13.482 Å; angles 90.00, 95.53, 90.00 degrees
Space group C2/m (No. 12)
Asymmetric unit:
Sc 0.104 0.000 0.278 [4 per cell]
Sc 0.149 0.000 0.052 [4 per cell]
Sc 0.154 0.000 0.575 [4 per cell]
Si 0.170 0.000 0.838 [4 per cell]
Ni 0.039 0.500 0.907 [4 per cell]
Ni 0.058 0.500 0.420 [4 per cell]
Ni 0.119 0.500 0.732 [4 per cell]

Summary:
Its distance to the lowest polymorph of the same formula is 52.5 meV per atom. Its total magnetization is 0.00 μB/atom. Its density is 5.01 g cm⁻³. Its formation energy (no corrections) is -0.55 eV/atom.

=====

2.
Below is Hf2FeSe2 after structural relaxation, with properties calculated at the PBE level.

Cell lengths 7.150, 7.150, 3.486 Å; angles 90.00, 90.00, 90.00 degrees
Space group P4/mbm (No. 127)
Asymmetric unit:
Hf 0.154 0.346 0.000 [4 per cell]
Fe 0.000 0.000 0.500 [2 per cell]
Se 0.149 0.649 0.500 [4 per cell]

Summary:
Its distance to the lowest polymorph of the same formula is 0.0 meV per atom. Its total magnetization is 0.42 μB/atom. Its density is 10.64 g cm⁻³. Its formation energy (no corrections) is -0.44 eV/atom.

=====

3.
Below is CaSc2Cu after structural relaxation, with properties calculated at the PBE level.

Cell lengths 6.071, 10.893, 3.231 Å; angles 90.00, 116.95, 90.00 degrees
Space group C2/m (No. 12)
Asymmetric unit:
Ca 0.000 0.000 0.000 [2 per cell]
Sc 0.250 0.250 0.500 [4 per cell]
Cu 0.000 0.500 0.000 [2 per cell]

Summary:
Its total magnetization is 0.00 μB/atom. Its density is 3.37 g cm⁻³. As for the formation energy: 274 meV/atom.

=====

4.
Below is Tl2PbAu after structural relaxation, with properties calculated at the PBE level.

Cell lengths 3.6850, 3.6850, 28.8875 Å; angles 90.00, 90.00, 120.00 degrees
Space group R-3m (No. 166, hexagonal axes)
Asymmetric unit:
Tl 0.0000 0.0000 0.2386 [6 per cell]
Pb 0.0000 0.0000 0.0000 [3 per cell]
Au 0.0000 0.0000 0.5000 [3 per cell]

Summary:
Its total magnetization is 0.00 μB/atom. Its density is 11.92 g cm⁻³. As for the formation energy: 36 meV/atom.

=====

5.
Below is K4BTe4 after structural relaxation, with properties calculated at the PBE level.

Cell lengths 9.684, 9.684, 7.299 Å; angles 90.00, 90.00, 90.00 degrees
Space group P4_2/n (No. 86, origin choice 2)
Asymmetric unit:
K 0.018 0.751 0.090 [8 per cell]
B 0.250 0.250 0.250 [2 per cell]
Te 0.045 0.249 0.415 [8 per cell]

Summary:
Its total magnetization is 0.11 μB/atom. Its density is 3.29 g cm⁻³. Its formation energy (no corrections) is -0.59 eV/atom.

=====

6.
Below is CaH3Se after structural relaxation, with properties calculated at the PBE level.

Cell lengths 4.034, 4.034, 4.034 Å; angles 90.00, 90.00, 90.00 degrees
Space group Pm-3m (No. 221)
Asymmetric unit:
Ca 0.000 0.000 0.000 [1 per cell]
H 0.000 0.000 0.500 [3 per cell]
Se 0.500 0.500 0.500 [1 per cell]

Summary:
Its distance to the lowest polymorph of the same formula is 112.4 meV per atom. Its total magnetization is 0.00 μB/atom. Its density is 3.09 g cm⁻³.